(1)
# Nd2SmIr PBE-GGA optimized geometry
# **Relative energy among the computed polymorphs**: 213 meV/atom
# **E_form**: -0.25 eV/atom
# **M_tot**: 0.00 μB/cell
# **Density of states at the Fermi level**: 1.3156 states/eV per atom
data_Nd2SmIr
_chemical_formula_sum 'Nd2 Sm1 Ir1'
_space_group_name_H-M_alt 'P 4/m m m'
_space_group_IT_number 123
_space_group_name_Hall '-P 4 2'
_cell_length_a 3.6189
_cell_length_b 3.6189
_cell_length_c 8.9329
_cell_angle_alpha 90.00
_cell_angle_beta 90.00
_cell_angle_gamma 90.00
loop_
_atom_site_label
_atom_site_type_symbol
_atom_site_fract_x
_atom_site_fract_y
_atom_site_fract_z
Nd1 Nd 0.0000 0.0000 0.1866
Sm1 Sm 0.5000 0.5000 0.5000
Ir1 Ir 0.5000 0.5000 0.0000

(2)
# Nd4Sm3Ir4 PBE-GGA optimized geometry
# **E_form**: -0.48 eV/atom
# **M_tot**: 0.00 μB/cell
# **Density of states at the Fermi level**: 0.7442 states/eV per atom
data_Nd4Sm3Ir4
_chemical_formula_sum 'Nd8 Sm6 Ir8'
_space_group_name_H-M_alt 'I m m m'
_space_group_IT_number 71
_space_group_name_Hall '-I 2 2'
_cell_length_a 4.4010
_cell_length_b 8.3186
_cell_length_c 15.7622
_cell_angle_alpha 90.00
_cell_angle_beta 90.00
_cell_angle_gamma 90.00
loop_
_atom_site_label
_atom_site_type_symbol
_atom_site_fract_x
_atom_site_fract_y
_atom_site_fract_z
Nd1 Nd 0.0000 0.2072 0.1668
Sm1 Sm 0.0000 0.0000 0.4003
Sm2 Sm 0.0000 0.5000 0.5000
Ir1 Ir 0.0000 0.3248 0.0000
Ir2 Ir 0.0000 0.5000 0.2885

(3)
# NdSm4Ir2 PBE-GGA optimized geometry
# **E_form**: -0.43 eV/atom
# **M_tot**: 0.00 μB/cell
# **Density of states at the Fermi level**: 1.1544 states/eV per atom
data_NdSm4Ir2
_chemical_formula_sum 'Nd2 Sm8 Ir4'
_space_group_name_H-M_alt 'P 1 21/m 1'
_space_group_IT_number 11
_cell_length_a 7.9872
_cell_length_b 6.5921
_cell_length_c 8.0223
_cell_angle_alpha 90.00
_cell_angle_beta 113.12
_cell_angle_gamma 90.00
loop_
_space_group_symop_operation_xyz
'x,y,z'
'-x,-y,-z'
'-x,y+1/2,-z'
'x,-y+1/2,z'
loop_
_atom_site_label
_atom_site_type_symbol
_atom_site_fract_x
_atom_site_fract_y
_atom_site_fract_z
Nd1 Nd 0.1530 0.2500 0.0257
Sm1 Sm 0.0129 0.2500 0.3780
Sm2 Sm 0.2516 0.7500 0.3377
Sm3 Sm 0.4131 0.0043 0.7607
Ir1 Ir 0.2595 0.7500 0.9897
Ir2 Ir 0.3706 0.2500 0.4064

(4)
# NdSmIr2 PBE-GGA optimized geometry
# **Relative energy among the computed polymorphs**: 0 meV/atom
# **E_form**: -0.64 eV/atom
# **M_tot**: 0.00 μB/cell
# **Density of states at the Fermi level**: 0.5700 states/eV per atom
data_NdSmIr2
_chemical_formula_sum 'Nd2 Sm2 Ir4'
_space_group_name_H-M_alt 'A m m 2'
_space_group_IT_number 38
_cell_length_a 4.2196
_cell_length_b 4.0739
_cell_length_c 10.8367
_cell_angle_alpha 90.00
_cell_angle_beta 90.00
_cell_angle_gamma 90.00
loop_
_space_group_symop_operation_xyz
'x,y,z'
'-x,-y,z'
'-x,y,z'
'x,-y,z'
'x,y+1/2,z+1/2'
'-x,-y+1/2,z+1/2'
'-x,y+1/2,z+1/2'
'x,-y+1/2,z+1/2'
loop_
_atom_site_label
_atom_site_type_symbol
_atom_site_fract_x
_atom_site_fract_y
_atom_site_fract_z
Nd1 Nd 0.0000 0.0000 0.0000
Sm1 Sm 0.5000 0.0000 0.7082
Ir1 Ir 0.0000 0.0000 0.2765
Ir2 Ir 0.5000 0.0000 0.4286